An optimized crystal structure of NaLaV2Pb, computed with PBE.

```
NaLaV2Pb
1.0
5.189 0.000 0.000
0.000 6.096 0.000
0.000 0.000 5.189
Pb Na V La
1 1 2 1
Direct
0.000 0.000 0.000
0.500 0.500 0.500
0.000 0.000 0.500
0.500 0.000 0.000
0.000 0.500 0.000
```

Properties
- ΔE_f (eV per atom) = 1.382
- M_tot (μB per cell) = 0.49

***

An optimized crystal structure of NaLaPd4, computed with PBE.

```
NaLaPd4
1.0
5.473 0.000 0.000
2.737 4.740 0.000
2.737 1.580 4.469
Na Pd La
1 4 1
Direct
0.000 0.000 0.000
0.625 0.625 0.124
0.625 0.124 0.625
0.625 0.625 0.625
0.124 0.625 0.625
0.250 0.250 0.250
```

Properties
- ΔE_f (eV per atom) = -0.597
- M_tot (μB per cell) = 0.00

***

An optimized crystal structure of NaLaPd3, computed with PBE.

```
NaLaPd3
1.0
-3.630 1.740 -2.543
2.264 -1.157 -4.025
-2.089 -4.278 0.055
Na Pd La
1 3 1
Direct
0.000 0.000 0.000
0.000 0.500 0.000
0.000 0.000 0.500
0.500 0.000 0.000
0.500 0.500 0.500
```

Properties
- ΔE_f (eV per atom) = 0.056
- M_tot (μB per cell) = 0.00
- relative energy among the computed polymorphs (eV/atom) = 0.000

***

An optimized crystal structure of Na2LaPd6, computed with PBE.

```
Na2LaPd6
1.0
-2.607 -3.505 4.792
-2.969 -5.609 -1.331
2.728 -5.611 1.767
Na La Pd
2 1 6
Direct
0.250 0.250 0.250
0.750 0.750 0.750
0.000 0.000 0.000
0.713 0.713 0.287
0.287 0.713 0.713
0.287 0.713 0.287
0.287 0.287 0.713
0.713 0.287 0.287
0.713 0.287 0.713
```

Properties
- ΔE_f (eV per atom) = -0.070
- M_tot (μB per cell) = 0.00

***

An optimized crystal structure of Na2LaPd, computed with PBE.

```
Na2LaPd
1.0
-2.076 0.634 -3.631
-1.779 -3.822 0.350
-11.428 3.406 4.664
Na Pd La
4 2 2
Direct
0.593 0.125 0.250
0.157 0.625 0.250
0.375 0.407 0.750
0.875 0.843 0.750
0.500 0.500 0.000
0.250 0.750 0.500
0.000 0.000 0.000
0.750 0.250 0.500
```

Properties
- ΔE_f (eV per atom) = -0.127
- M_tot (μB per cell) = 0.00
- relative energy among the computed polymorphs (eV/atom) = 0.000

***

An optimized crystal structure of Na2LaPd9, computed with PBE.

```
Na2LaPd9
1.0
5.160 0.000 1.536
2.351 4.593 1.536
-0.001 -0.001 9.440
Na La Pd
2 1 9
Direct
0.855 0.855 0.435
0.145 0.145 0.565
0.000 0.000 0.000
0.667 0.667 0.999
0.333 0.333 0.001
0.500 0.500 0.500
0.415 0.415 0.254
0.917 0.415 0.254
0.415 0.917 0.254
0.585 0.585 0.746
0.585 0.083 0.746
0.083 0.585 0.746
```

Properties
- ΔE_f (eV per atom) = -0.354
- M_tot (μB per cell) = 0.00

***

An optimized crystal structure of NaLa2Pd, computed with PBE.

```
NaLa2Pd
1.0
-1.411 -3.032 -2.418
2.094 -1.082 -3.388
5.900 -8.667 3.901
Na Pd La
1 1 2
Direct
0.000 0.000 0.000
0.500 0.500 0.500
0.116 0.116 0.653
0.884 0.884 0.347
```

Properties
- ΔE_f (eV per atom) = -0.194
- M_tot (μB per cell) = 0.00
- relative energy among the computed polymorphs (eV/atom) = 0.104

***

An optimized crystal structure of NaLa2Pd, computed with PBE.

```
NaLa2Pd
1.0
3.660 0.000 0.000
0.000 3.660 0.000
0.000 0.000 9.568
Na Pd La
1 1 2
Direct
0.500 0.500 0.500
0.500 0.500 0.000
0.000 0.000 0.817
0.000 0.000 0.183
```

Properties
- ΔE_f (eV per atom) = -0.299
- M_tot (μB per cell) = 0.00
- relative energy among the computed polymorphs (eV/atom) = 0.000

***

no.,V (Å³ per cell)
1,164.1
2,115.9
3,107.9
4,192.8
5,222.8
6,223.7
7,161.2
8,128.2